1.
A plane-wave DFT calculation with PBE was carried out for CeU3Se4 after structural relaxation.

a = 11.587 Å, b = 8.332 Å, c = 4.021 Å
α = 90.00°, β = 90.10°, γ = 90.00°
Space group C2/m (No. 12)
Unique sites:
1 Ce 0.000 0.000 0.000 (multiplicity 2)
2 U 0.000 0.500 0.000 (multiplicity 2)
3 U 0.250 0.250 0.500 (multiplicity 4)
4 Se 0.000 0.255 0.500 (multiplicity 4)
5 Se 0.247 0.500 0.000 (multiplicity 4)

## Properties
Formation energy without anion corrections in eV/atom: -1.190
N(E_F) in states/eV/cell: 43.40
Total moment in μB per atom: 1.114
VASP energy in eV per cell: -126.51

2.
A plane-wave DFT calculation with PBE was carried out for DySc4Au5 after structural relaxation.

a = 3.428 Å, b = 3.428 Å, c = 17.369 Å
α = 90.00°, β = 90.00°, γ = 90.00°
Space group P4/mmm (No. 123)
Unique sites:
1 Dy 0.000 0.000 0.000 (multiplicity 1)
2 Sc 0.000 0.000 0.207 (multiplicity 2)
3 Sc 0.000 0.000 0.402 (multiplicity 2)
4 Au 0.500 0.500 0.113 (multiplicity 2)
5 Au 0.500 0.500 0.304 (multiplicity 2)
6 Au 0.500 0.500 0.500 (multiplicity 1)

## Properties
ΔE_f in eV/f.u.: -8.12
N(E_F) in states/eV/cell: 5.20
Total moment in μB per atom: 0.000
VASP energy in eV per cell: -54.44

3.
A plane-wave DFT calculation with PBE was carried out for HfZrIr after structural relaxation.

a = 2.967 Å, b = 2.967 Å, c = 14.643 Å
α = 90.00°, β = 90.00°, γ = 90.00°
Space group I4mm (No. 107)
Unique sites:
1 Hf 0.000 0.000 0.000 (multiplicity 2)
2 Zr 0.000 0.000 0.343 (multiplicity 2)
3 Ir 0.000 0.000 0.170 (multiplicity 2)

## Properties
ΔE_f in eV/f.u.: 1.15
N(E_F) in states/eV/cell: 8.57
Total moment in μB per atom: 0.000
VASP energy in eV per cell: -52.42
Polymorph energy (0 for the lowest one) in eV/atom: 1.022